1.
A plane-wave DFT calculation with PBE-GGA was carried out for a relaxed ZnCoTcAs crystal.

Unit cell a=4.3310 b=4.3310 c=4.3310 alpha=60.00 beta=60.00 gamma=60.00
Last column: nearest neighbours and their distance in Å.
Atoms (fractional coordinates):
Zn 0.2500 0.2500 0.2500  4 As 2.65, 4 Tc 2.65
Co 0.7500 0.7500 0.7500  4 Tc 2.65, 4 As 2.65
Tc 0.5000 0.5000 0.5000  4 Co 2.65, 4 Zn 2.65
As 0.0000 0.0000 0.0000  4 Co 2.65, 4 Zn 2.65

**Space group**: F-43m, No. 216
**V**: 57 Å³ per cell
**VASP energy**: -5.423 eV per atom



2.
A plane-wave DFT calculation with PBE-GGA was carried out for a relaxed SmSi2Ni9 crystal.

Unit cell a=7.5713 b=7.5713 c=7.5713 alpha=99.61 beta=99.61 gamma=131.78
Last column: nearest neighbours and their distance in Å.
Atoms (fractional coordinates):
Ni 0.4376 0.2650 0.5795  2 Si 2.33-2.37, 8 Ni 2.42-2.60
Ni 0.3124 0.3919 0.3274  2 Si 2.33-2.37, 8 Ni 2.42-2.60
Ni 0.1419 0.5624 0.8274  2 Si 2.33-2.37, 8 Ni 2.42-2.60
Ni 0.0150 0.9355 0.3274  2 Si 2.33-2.37, 8 Ni 2.42-2.60
Ni 0.4376 0.8581 0.1726  2 Si 2.33-2.37, 8 Ni 2.42-2.60
Ni 0.0150 0.6876 0.0795  2 Si 2.33-2.37, 8 Ni 2.42-2.60
Ni 0.1419 0.3145 0.5795  2 Si 2.33-2.37, 8 Ni 2.42-2.60
Ni 0.0645 0.3919 0.0795  2 Si 2.33-2.37, 8 Ni 2.42-2.60
Ni 0.0645 0.9850 0.6726  2 Si 2.33-2.37, 8 Ni 2.42-2.60
Ni 0.3124 0.9850 0.9205  2 Si 2.33-2.37, 8 Ni 2.42-2.60
Ni 0.6081 0.9355 0.9205  2 Si 2.33-2.37, 8 Ni 2.42-2.60
Ni 0.7500 0.2500 0.5000  4 Si 2.56, 8 Ni 2.60
Ni 0.6081 0.6876 0.6726  2 Si 2.33-2.37, 8 Ni 2.42-2.60
Ni 0.7350 0.3145 0.1726  2 Si 2.33-2.37, 8 Ni 2.42-2.60
Ni 0.6855 0.8581 0.4205  2 Si 2.33-2.37, 8 Ni 2.42-2.60
Ni 0.7350 0.5624 0.4205  2 Si 2.33-2.37, 8 Ni 2.42-2.60
Ni 0.0000 0.0000 0.0000  4 Si 2.56, 8 Ni 2.60
Ni 0.6855 0.2650 0.8274  2 Si 2.33-2.37, 8 Ni 2.42-2.60
Sm 0.5000 0.5000 0.0000  18 Ni 3.02-3.16, 4 Si 3.37
Sm 0.2500 0.7500 0.5000  18 Ni 3.02-3.16, 4 Si 3.37
Si 0.8750 0.1250 0.7500  10 Ni 2.33-2.56
Si 0.3750 0.1250 0.2500  10 Ni 2.33-2.56
Si 0.8750 0.1250 0.2500  10 Ni 2.33-2.56
Si 0.8750 0.6250 0.7500  10 Ni 2.33-2.56

**Space group**: I4_1/amd, No. 141
**V**: 295 Å³ per cell
**VASP energy**: -5.952 eV per atom



3.
A plane-wave DFT calculation with PBE-GGA was carried out for a relaxed PrUTa crystal.

Unit cell a=4.8770 b=4.8770 c=4.8770 alpha=60.00 beta=60.00 gamma=60.00
Last column: nearest neighbours and their distance in Å.
Atoms (fractional coordinates):
Pr 0.2500 0.2500 0.2500  4 U 2.99
Ta 0.7500 0.7500 0.7500  4 U 2.99
U 0.0000 0.0000 0.0000  4 Pr 2.99, 4 Ta 2.99

**Space group**: F-43m, No. 216
**V**: 82 Å³ per cell
**VASP energy**: -7.861 eV per atom
**E_form**: 1447 meV per atom



4.
A plane-wave DFT calculation with PBE-GGA was carried out for a relaxed SmDyHg crystal.

Unit cell a=5.1389 b=5.1389 c=5.1389 alpha=60.00 beta=60.00 gamma=60.00
Last column: nearest neighbours and their distance in Å.
Atoms (fractional coordinates):
Dy 0.2500 0.2500 0.2500  4 Hg 3.15
Sm 0.7500 0.7500 0.7500  4 Hg 3.15
Hg 0.0000 0.0000 0.0000  4 Dy 3.15, 4 Sm 3.15

**Space group**: F-43m, No. 216
**V**: 96 Å³ per cell
**VASP energy**: -3.306 eV per atom
**E_form**: -102 meV per atom



5.
A plane-wave DFT calculation with PBE-GGA was carried out for a relaxed DyLu3Ni4 crystal.

Unit cell a=5.3484 b=4.1058 c=6.9312 alpha=90.00 beta=90.23 gamma=90.00
Last column: nearest neighbours and their distance in Å.
Atoms (fractional coordinates):
Ni 0.8754 0.5000 0.4601  2 Ni 2.51
Ni 0.6268 0.5000 0.9656  2 Ni 2.52, 1 Lu 2.82
Ni 0.3716 0.0000 0.0395  2 Ni 2.52, 2 Lu 2.82
Ni 0.1275 0.0000 0.5361  2 Ni 2.51
Dy 0.6309 0.0000 0.6792  7 Ni 2.84-2.87
Lu 0.1312 0.5000 0.8214  7 Ni 2.83-2.88
Lu 0.3676 0.5000 0.3185  7 Ni 2.81-2.88
Lu 0.8690 0.0000 0.1796  7 Ni 2.83-2.86

**Space group**: Pm, No. 6
**V**: 152 Å³ per cell
**VASP energy**: -5.566 eV per atom
**E_form**: -511 meV per atom



6.
A plane-wave DFT calculation with PBE-GGA was carried out for a relaxed NaZr crystal.

Unit cell a=17.4365 b=7.2023 c=4.9587 alpha=90.00 beta=90.00 gamma=89.97
Last column: nearest neighbours and their distance in Å.
Atoms (fractional coordinates):
Zr 0.2743 0.5303 0.0000  4 Zr 2.84-3.16, 2 Na 3.15
Zr 0.6602 0.5004 0.0000  2 Zr 2.84-2.86
Zr 0.2766 0.9692 0.0000  6 Zr 2.86-3.20, 2 Na 3.19
Zr 0.2843 0.2496 0.5000  2 Zr 2.84-2.86
Zr 0.1601 0.2498 0.0000  2 Zr 2.84-2.86
Zr 0.6678 0.7808 0.5000  6 Zr 2.86-3.20, 2 Na 3.19
Zr 0.1701 0.5304 0.5000  4 Zr 2.84-3.16, 2 Na 3.15
Zr 0.7743 0.2196 0.0000  4 Zr 2.84-3.16, 2 Na 3.15
Zr 0.6702 0.2197 0.5000  4 Zr 2.84-3.16, 2 Na 3.15
Zr 0.1678 0.9692 0.5000  6 Zr 2.86-3.20, 2 Na 3.19
Zr 0.7766 0.7808 0.0000  6 Zr 2.86-3.20, 2 Na 3.19
Zr 0.7844 0.5002 0.5000  2 Zr 2.84-2.86
Na 0.4801 0.0214 0.5000  8 Na 3.13-3.37
Na 0.9642 0.0215 0.0000  8 Na 3.13-3.37
Na 0.3431 0.7415 0.5000  4 Na 3.13-3.42, 6 Zr 3.15-3.47
Na 0.0082 0.2658 0.5000  6 Na 3.14-3.43, 2 Zr 3.41-3.51
Na 0.6013 0.0085 0.0000  4 Na 3.13-3.42, 6 Zr 3.15-3.47
Na 0.9803 0.7285 0.5000  8 Na 3.13-3.37
Na 0.1014 0.7420 0.0000  4 Na 3.13-3.43, 6 Zr 3.15-3.47
Na 0.8430 0.0080 0.5000  4 Na 3.13-3.43, 6 Zr 3.15-3.47
Na 0.9363 0.4842 0.0000  6 Na 3.14-3.43, 2 Zr 3.41-3.51
Na 0.5081 0.4841 0.5000  6 Na 3.14-3.42, 1 Zr 3.41
Na 0.4364 0.2659 0.0000  6 Na 3.14-3.42, 1 Zr 3.41
Na 0.4644 0.7286 0.0000  8 Na 3.13-3.37

**Space group**: P2_1/m, No. 11
**V**: 623 Å³ per cell
**VASP energy**: -4.543 eV per atom